12
Lattice="5.9482 0.2442 0.0000 -2.4193 5.4394 0.0000 -1.7644 -2.8418 4.9246" Properties=species:S:1:pos:R:3 comment="NdNpCo2O8 PBE with a Hubbard U optimized geometry" total_energy_ev_per_cell=-90.39 pbc="T T T"
O -0.1931 1.6552 3.8875
O 0.1931 -1.6552 3.8875
Co 1.7644 2.8418 0.0000
O 1.5959 -0.5224 1.6314
O 4.3523 0.7666 1.6314
O 3.0077 -1.3990 3.2932
O 0.1953 2.2807 1.0371
Nd 0.0000 0.0000 0.0000
O 2.9405 1.6432 3.2932
O 3.3336 3.4029 1.0371
Co 2.9741 0.1221 2.4623
Np -1.2097 2.7197 2.4623